No. 1
First-principles (PBE-GGA) data for crystalline YMgCdRu at its relaxed geometry, as listed in Alexandria.

## Properties
The density comes out at 6.67 Mg/m³. The calculation puts the energy of formation from the pure elements at -0.106 eV/atom.

abc: 4.8626 4.8626 4.8626
angles: 60.00 60.00 60.00
Sites, in units of the cell vectors:
Mg: 0.0000 0.0000 0.0000
Y: 0.5000 0.5000 0.5000
Cd: 0.2500 0.2500 0.2500
Ru: 0.7500 0.7500 0.7500

No. 2
First-principles (PBE-GGA) data for crystalline LiCaGe2 at its relaxed geometry, as listed in Alexandria.

## Properties
The density comes out at 4.03 Mg/m³. The calculation puts the energy of formation from the pure elements at -0.379 eV/atom.

abc: 3.4618 3.4618 6.6045
angles: 90.00 90.00 90.00
Sites, in units of the cell vectors:
Ge: 0.0000 0.0000 0.1993
Ge: 0.0000 0.0000 0.8007
Ca: 0.5000 0.5000 0.5000
Li: 0.5000 0.5000 0.0000

No. 3
First-principles (PBE-GGA) data for crystalline AcMnZnH6 at its relaxed geometry, as listed in Alexandria.

## Properties
The density comes out at 6.06 Mg/m³.

abc: 4.7276 4.7276 8.6656
angles: 90.00 90.00 90.00
Each line ends with the local moment (μB).
Sites, in units of the cell vectors:
Mn: 0.0000 0.0000 0.3462  1.64
Mn: 0.5000 0.5000 0.8462  1.64
Ac: 0.0000 0.0000 0.9953  -0.06
Ac: 0.5000 0.5000 0.4953  -0.06
H: 0.2744 0.2744 0.7446  -0.01
H: 0.8421 0.1579 0.4868  -0.01
H: 0.7642 0.7642 0.2735  -0.01
H: 0.7744 0.2256 0.2446  -0.01
H: 0.6579 0.6579 0.9868  -0.01
H: 0.2642 0.7358 0.7735  -0.01
H: 0.7358 0.2642 0.7735  -0.01
H: 0.2358 0.2358 0.2735  -0.01
H: 0.3421 0.3421 0.9868  -0.01
H: 0.7256 0.7256 0.7446  -0.01
H: 0.2256 0.7744 0.2446  -0.01
H: 0.1579 0.8421 0.4868  -0.01
Zn: 0.0000 0.0000 0.6487  0.03
Zn: 0.5000 0.5000 0.1487  0.03

No. 4
First-principles (PBE-GGA) data for crystalline KPIr at its relaxed geometry, as listed in Alexandria.

## Properties
The density comes out at 6.01 Mg/m³. The calculation puts the energy of formation from the pure elements at -0.333 eV/atom.

abc: 3.9177 3.9177 5.4549
angles: 90.00 90.00 120.00
Sites, in units of the cell vectors:
K: 0.6667 0.3333 0.3334
Ir: 0.0000 0.0000 0.8334
P: 0.3333 0.6667 0.8332

No. 5
First-principles (PBE-GGA) data for crystalline SrPuCuSe4 at its relaxed geometry, as listed in Alexandria.

## Properties
The density comes out at 6.86 Mg/m³. The energy relative to the elements, uncorrected comes out at -1.16 eV/atom.

abc: 7.1412 5.7993 8.7098
angles: 90.00 107.35 90.00
Each line ends with the local moment (μB).
Sites, in units of the cell vectors:
Se: 0.0197 0.9893 0.7303  -0.10
Se: 0.0197 0.5107 0.7303  -0.10
Se: 0.5602 0.2500 0.8709  -0.11
Se: 0.4218 0.7500 0.5935  -0.17
Se: 0.4398 0.7500 0.1291  -0.11
Se: 0.5782 0.2500 0.4065  -0.17
Se: 0.9803 0.4893 0.2697  -0.10
Se: 0.9803 0.0107 0.2697  -0.10
Cu: 0.7445 0.2500 0.6861  -0.13
Cu: 0.2555 0.7500 0.3139  -0.13
Sr: 0.7358 0.7500 0.9348  -0.01
Sr: 0.2642 0.2500 0.0652  -0.01
Pu: 0.7314 0.7500 0.4387  4.90
Pu: 0.2686 0.2500 0.5613  4.90

No. 6
First-principles (PBE-GGA) data for crystalline CaPO2 at its relaxed geometry, as listed in Alexandria.

## Properties
The density comes out at 2.77 Mg/m³. The energy relative to the elements, uncorrected comes out at -1.27 eV/atom.

abc: 4.5908 4.5908 6.7083
angles: 69.99 69.99 90.00
Sites, in units of the cell vectors:
Ca: 0.7500 0.2500 0.5000
Ca: 0.0000 0.0000 0.0000
P: 0.5000 0.5000 0.0000
P: 0.2500 0.7500 0.5000
O: 0.5752 0.1250 0.2500
O: 0.1748 0.6250 0.2500
O: 0.8750 0.8252 0.7500
O: 0.3750 0.4248 0.7500

No. 7
First-principles (PBE-GGA) data for crystalline LiHo12Cd6 at its relaxed geometry, as listed in Alexandria.

## Properties
The density comes out at 8.56 Mg/m³. The calculation puts the energy of formation from the pure elements at -0.081 eV/atom.

abc: 8.0299 8.0299 8.0299
angles: 87.57 87.57 87.57
Sites, in units of the cell vectors:
Cd: 0.2606 0.7371 0.8938
Cd: 0.7394 0.2629 0.1062
Cd: 0.7371 0.8938 0.2606
Cd: 0.8938 0.2606 0.7371
Cd: 0.1062 0.7394 0.2629
Cd: 0.2629 0.1062 0.7394
Ho: 0.5575 0.1979 0.4648
Ho: 0.8445 0.6316 0.9828
Ho: 0.4648 0.5575 0.1979
Ho: 0.9828 0.8445 0.6316
Ho: 0.1979 0.4648 0.5575
Ho: 0.1555 0.3684 0.0172
Ho: 0.0172 0.1555 0.3684
Ho: 0.5352 0.4425 0.8021
Ho: 0.4425 0.8021 0.5352
Ho: 0.3684 0.0172 0.1555
Ho: 0.6316 0.9828 0.8445
Ho: 0.8021 0.5352 0.4425
Li: 0.0000 0.0000 0.0000

No. 8
First-principles (PBE-GGA) data for crystalline LaCe3Pm2As6 at its relaxed geometry, as listed in Alexandria.

## Properties
The density comes out at 6.62 Mg/m³. The calculation puts the energy of formation from the pure elements at -1.486 eV/atom.

abc: 7.3619 7.3619 7.3635
angles: 99.60 99.60 120.00
Each line ends with the local moment (μB).
Sites, in units of the cell vectors:
Pm: 0.6669 0.3331 0.0000  0.01
Pm: 0.3331 0.6669 0.0000  0.01
As: 0.0855 0.4224 0.2563  -0.02
As: 0.4224 0.0855 0.2563  -0.02
As: 0.7482 0.7482 0.2556  -0.02
As: 0.2518 0.2518 0.7444  -0.02
As: 0.9145 0.5776 0.7437  -0.02
As: 0.5776 0.9145 0.7437  -0.02
La: 0.0000 0.0000 0.0000  0.01
Ce: 0.8340 0.1660 0.5000  0.58
Ce: 0.1660 0.8340 0.5000  0.58
Ce: 0.5000 0.5000 0.5000  0.58

No. 9
First-principles (PBE-GGA) data for crystalline Pr4CdOs at its relaxed geometry, as listed in Alexandria.

## Properties
The density comes out at 8.09 Mg/m³. The calculation puts the energy of formation from the pure elements at -0.185 eV/atom.

abc: 10.0194 10.0194 10.0194
angles: 60.00 60.00 60.00
Sites, in units of the cell vectors:
Pr: 0.4043 0.4043 0.7871
Pr: 0.4043 0.7871 0.4043
Pr: 0.1912 0.8088 0.1912
Pr: 0.1912 0.8088 0.8088
Pr: 0.9412 0.5588 0.5588
Pr: 0.8088 0.1912 0.1912
Pr: 0.7871 0.4043 0.4043
Pr: 0.4043 0.4043 0.4043
Pr: 0.5588 0.5588 0.9412
Pr: 0.8088 0.1912 0.8088
Pr: 0.1912 0.1912 0.8088
Pr: 0.8088 0.8088 0.1912
Pr: 0.5588 0.9412 0.5588
Pr: 0.9412 0.9412 0.5588
Pr: 0.9412 0.5588 0.9412
Pr: 0.5588 0.9412 0.9412
Cd: 0.1710 0.4871 0.1710
Cd: 0.1710 0.1710 0.4871
Cd: 0.4871 0.1710 0.1710
Cd: 0.1710 0.1710 0.1710
Os: 0.6120 0.6120 0.6120
Os: 0.6120 0.1640 0.6120
Os: 0.1640 0.6120 0.6120
Os: 0.6120 0.6120 0.1640

No. 10
First-principles (PBE-GGA) data for crystalline TaFeNiGe at its relaxed geometry, as listed in Alexandria.

## Properties
The density comes out at 11.46 Mg/m³. The calculation puts the energy of formation from the pure elements at -0.163 eV/atom.

abc: 4.2248 4.2248 4.2248
angles: 60.00 60.00 60.00
Each line ends with the local moment (μB).
Sites, in units of the cell vectors:
Ge: 0.5000 0.5000 0.5000  0.02
Ni: 0.2500 0.2500 0.2500  0.26
Fe: 0.7500 0.7500 0.7500  1.02
Ta: 0.0000 0.0000 0.0000  -0.11

No. 11
First-principles (PBE-GGA) data for crystalline Pm2CuTcO8 at its relaxed geometry, as listed in Alexandria.

## Properties
The density comes out at 6.32 Mg/m³. The energy relative to the elements, uncorrected comes out at -1.95 eV/atom.

abc: 4.2429 5.3779 6.8193
angles: 81.70 94.39 97.70
Sites, in units of the cell vectors:
O: 0.3139 0.2689 0.0447
O: 0.7960 0.0472 0.2478
O: 0.7836 0.2363 0.8420
O: 0.2040 0.9528 0.7522
O: 0.2164 0.7637 0.1580
O: 0.2065 0.3273 0.4457
O: 0.7935 0.6727 0.5543
O: 0.6861 0.7311 0.9553
Pm: 0.3089 0.5249 0.7344
Pm: 0.6911 0.4751 0.2656
Cu: 0.0000 0.0000 0.5000
Tc: 0.0000 0.0000 0.0000

No. 12
First-principles (PBE-GGA) data for crystalline TlIr2Os at its relaxed geometry, as listed in Alexandria.

## Properties
The density comes out at 20.00 Mg/m³. The calculation puts the energy of formation from the pure elements at 0.617 eV/atom.

abc: 6.4398 4.8653 2.8630
angles: 89.98 63.60 122.10
Each line ends with the local moment (μB).
Sites, in units of the cell vectors:
Ir: 0.0000 0.0000 0.0000  0.05
Ir: 0.5000 0.0000 0.5000  0.05
Tl: 0.5000 0.5000 0.0000  0.01
Os: 0.0000 0.5000 0.5000  0.32

No. 13
First-principles (PBE-GGA) data for crystalline SrEuIr at its relaxed geometry, as listed in Alexandria.

## Properties
The density comes out at 6.77 Mg/m³. The calculation puts the energy of formation from the pure elements at -0.106 eV/atom.

abc: 6.6348 4.2933 4.2933
angles: 120.00 90.00 90.00
Each line ends with the local moment (μB).
Sites, in units of the cell vectors:
Sr: 0.7624 0.6667 0.3333  0.01
Ir: 0.0152 0.0000 0.0000  -0.19
Eu: 0.2224 0.3333 0.6667  6.76

No. 14
First-principles (PBE-GGA) data for crystalline GaNi4Ge3 at its relaxed geometry, as listed in Alexandria.

## Properties
The density comes out at 7.90 Mg/m³. The calculation puts the energy of formation from the pure elements at -0.313 eV/atom.

abc: 3.8207 4.9690 11.5644
angles: 90.00 90.00 90.00
Sites, in units of the cell vectors:
Ni: 0.5000 0.8805 0.0043
Ni: 0.0000 0.3654 0.3006
Ni: 0.5000 0.3805 0.9957
Ni: 0.0000 0.6152 0.5060
Ni: 0.0000 0.1152 0.4940
Ni: 0.5000 0.6403 0.2028
Ni: 0.5000 0.1403 0.7972
Ni: 0.0000 0.8654 0.6994
Ge: 0.5000 0.3832 0.4282
Ge: 0.0000 0.6141 0.0707
Ge: 0.5000 0.8832 0.5718
Ge: 0.0000 0.3582 0.6877
Ge: 0.0000 0.1141 0.9293
Ge: 0.0000 0.8582 0.3123
Ga: 0.5000 0.1429 0.1856
Ga: 0.5000 0.6429 0.8144

No. 15
First-principles (PBE-GGA) data for crystalline PuPaZnSi at its relaxed geometry, as listed in Alexandria.

## Properties
The density comes out at 11.12 Mg/m³. The energy relative to the elements, uncorrected comes out at -0.12 eV/atom.

abc: 4.9327 4.9327 4.9327
angles: 60.00 60.00 60.00
Each line ends with the local moment (μB).
Sites, in units of the cell vectors:
Pu: 0.5000 0.5000 0.5000  5.27
Pa: 0.0000 0.0000 0.0000  0.28
Zn: 0.2500 0.2500 0.2500  -0.01
Si: 0.7500 0.7500 0.7500  -0.04

No. 16
First-principles (PBE-GGA) data for crystalline AgAs2HO6 at its relaxed geometry, as listed in Alexandria.

## Properties
The density comes out at 3.87 Mg/m³.

abc: 4.9971 8.3702 8.3702
angles: 82.54 68.81 68.81
Sites, in units of the cell vectors:
O: 0.9851 0.3763 0.7755
O: 0.4851 0.7755 0.3763
O: 0.3346 0.3021 0.0458
O: 0.1654 0.9542 0.6979
O: 0.0057 0.6905 0.5950
O: 0.4943 0.4050 0.3095
O: 0.5057 0.5950 0.6905
O: 0.5149 0.2245 0.6237
O: 0.0149 0.6237 0.2245
O: 0.9943 0.3095 0.4050
O: 0.6654 0.6979 0.9542
O: 0.8346 0.0458 0.3021
As: 0.2942 0.7729 0.5898
As: 0.2058 0.4102 0.2271
As: 0.7942 0.5898 0.7729
As: 0.7058 0.2271 0.4102
H: 0.7500 0.6877 0.3123
H: 0.2500 0.3123 0.6877
Ag: 0.2500 0.8773 0.1227
Ag: 0.7500 0.1227 0.8773

No. 17
First-principles (PBE-GGA) data for crystalline OsPt2Br at its relaxed geometry, as listed in Alexandria.

## Properties
The density comes out at 12.30 Mg/m³. The energy relative to the elements, uncorrected comes out at 0.98 eV/atom.

abc: 6.6187 6.6187 6.2015
angles: 57.75 57.75 90.00
Sites, in units of the cell vectors:
Br: 0.5000 0.5000 0.0000
Br: 0.2500 0.7500 0.5000
Os: 0.7500 0.2500 0.5000
Os: 0.0000 0.0000 0.0000
Pt: 0.8750 0.9054 0.7500
Pt: 0.0946 0.6250 0.2500
Pt: 0.3750 0.3446 0.7500
Pt: 0.6554 0.1250 0.2500

No. 18
First-principles (PBE-GGA) data for crystalline CoTcGeMo at its relaxed geometry, as listed in Alexandria.

## Properties
The density comes out at 9.67 Mg/m³. The calculation puts the energy of formation from the pure elements at 0.018 eV/atom.

abc: 4.2922 4.2922 4.2922
angles: 60.00 60.00 60.00
Each line ends with the local moment (μB).
Sites, in units of the cell vectors:
Tc: 0.2500 0.2500 0.2500  -0.04
Ge: 0.0000 0.0000 0.0000  0.00
Co: 0.7500 0.7500 0.7500  1.37
Mo: 0.5000 0.5000 0.5000  0.59

No. 19
First-principles (PBE-GGA) data for crystalline DyErSi2 at its relaxed geometry, as listed in Alexandria.

## Properties
The density comes out at 7.06 Mg/m³. The energy relative to the elements, uncorrected comes out at -0.52 eV/atom.

abc: 4.5599 4.5599 5.6891
angles: 66.37 66.37 60.00
Sites, in units of the cell vectors:
Si: 0.7480 0.7480 0.7559
Si: 0.2520 0.2520 0.2441
Dy: 0.5000 0.5000 0.5000
Er: 0.0000 0.0000 0.0000

No. 20
First-principles (PBE-GGA) data for crystalline LiY2Pb at its relaxed geometry, as listed in Alexandria.

## Properties
The density comes out at 5.80 Mg/m³. The calculation puts the energy of formation from the pure elements at 0.027 eV/atom.

abc: 8.3366 8.3366 6.7213
angles: 51.67 51.67 90.00
Each line ends with the local moment (μB).
Sites, in units of the cell vectors:
Y: 0.6143 0.1250 0.2500  0.19
Y: 0.8750 0.8643 0.7500  0.19
Y: 0.1357 0.6250 0.2500  0.19
Y: 0.3750 0.3857 0.7500  0.19
Li: 0.5000 0.5000 0.0000  0.03
Li: 0.2500 0.7500 0.5000  0.03
Pb: 0.0000 0.0000 0.0000  -0.01
Pb: 0.7500 0.2500 0.5000  -0.01

Computed uncorrected energy (eV/atom) in order:
-4.67, -3.67, -3.88, -5.46, -6.03, -5.60, -3.36, -6.50, -5.40, -7.84, -7.25, -7.21, -7.05, -5.31, -7.75, -5.43, -5.27, -8.21, -5.52, -4.61
Computed magnetization (μB per formula unit) in order:
0.000, 0.000, 1.483, 0.000, 4.183, 0.000, 0.086, 1.915, 0.000, 1.149, 0.000, 0.448, 6.921, 0.000, 5.870, 0.000, 0.000, 1.925, 0.000, 0.739